[1]
CsHg4PbAu2: optimized geometry, PBE.

abc: 5.474 5.474 8.971
angles: 90.00 90.00 90.00
Positions (direct):
Cs (0.000, 0.000, 0.000)
Hg (0.000, 0.500, 0.315)
Hg (0.000, 0.500, 0.685)
Hg (0.500, 0.000, 0.315)
Hg (0.500, 0.000, 0.685)
Pb (0.000, 0.000, 0.500)
Au (0.500, 0.500, 0.270)
Au (0.500, 0.500, 0.730)

Output
space-group type: P4/mmm, No. 123
DFT formation energy: -0.029 eV/atom



[2]
Sr2ZrCdCl: optimized geometry, PBE.

abc: 5.557 5.557 5.737
angles: 90.00 90.00 90.00
Positions (direct):
Sr (0.000, 0.500, 0.000)
Sr (0.500, 0.000, 0.000)
Zr (0.000, 0.000, 0.500)
Cd (0.500, 0.500, 0.500)
Cl (0.500, 0.500, 0.000)

Output
raw formation energy: -20.6 meV/atom
space-group type: P4/mmm, No. 123



[3]
NdHoGa4: optimized geometry, PBE.

abc: 4.241 4.241 8.384
angles: 90.00 90.00 120.00
Positions (direct):
Nd (0.000, 0.000, 0.000)
Ho (0.000, 0.000, 0.500)
Ga (0.333, 0.667, 0.259)
Ga (0.333, 0.667, 0.741)
Ga (0.667, 0.333, 0.259)
Ga (0.667, 0.333, 0.741)

Output
offset from the most stable computed form: 0 meV/atom
space-group type: P6/mmm, No. 191
DFT formation energy: -0.660 eV/atom



| no. | magnetic moment (μB/atom) | ρ (Mg/m³) |
| --- | --- | --- |
| 1 | 0.000 | 9.492 |
| 2 | 0.596 | 3.884 |
| 3 | 0.000 | 7.479 |